# 1
## Sm2ZnGa2Pt5 (PBE-GGA)

Data for a geometry-optimized Sm2ZnGa2Pt5 structure.

Output
Space-group type ... P4/mbm (127)
Total energy ... -54.88 eV/f.u.

Cell lengths 9.900, 9.900, 3.725 Å; angles 90.00, 90.00, 90.00 degrees
Fractional coordinates of all 20 atoms:
1 Sm 0.177 0.323 0.000
2 Sm 0.323 0.823 0.000
3 Sm 0.677 0.177 0.000
4 Sm 0.823 0.677 0.000
5 Zn 0.000 0.000 0.000
6 Zn 0.500 0.500 0.000
7 Ga 0.124 0.624 0.000
8 Ga 0.376 0.124 0.000
9 Ga 0.624 0.876 0.000
10 Ga 0.876 0.376 0.000
11 Pt 0.000 0.500 0.500
12 Pt 0.059 0.797 0.500
13 Pt 0.203 0.059 0.500
14 Pt 0.297 0.559 0.500
15 Pt 0.441 0.297 0.500
16 Pt 0.500 0.000 0.500
17 Pt 0.559 0.703 0.500
18 Pt 0.703 0.441 0.500
19 Pt 0.797 0.941 0.500
20 Pt 0.941 0.203 0.500

# 2
## Sm2Zn2GaPt5 (PBE-GGA)

Data for a geometry-optimized Sm2Zn2GaPt5 structure.

Output
Space-group type ... P4/mbm (127)
Total energy ... -53.22 eV/f.u.

Cell lengths 9.762, 9.762, 3.766 Å; angles 90.00, 90.00, 90.00 degrees
Fractional coordinates of all 20 atoms:
1 Sm 0.176 0.324 0.000
2 Sm 0.324 0.824 0.000
3 Sm 0.676 0.176 0.000
4 Sm 0.824 0.676 0.000
5 Zn 0.122 0.622 0.000
6 Zn 0.378 0.122 0.000
7 Zn 0.622 0.878 0.000
8 Zn 0.878 0.378 0.000
9 Ga 0.000 0.000 0.000
10 Ga 0.500 0.500 0.000
11 Pt 0.000 0.500 0.500
12 Pt 0.061 0.798 0.500
13 Pt 0.202 0.061 0.500
14 Pt 0.298 0.561 0.500
15 Pt 0.439 0.298 0.500
16 Pt 0.500 0.000 0.500
17 Pt 0.561 0.702 0.500
18 Pt 0.702 0.439 0.500
19 Pt 0.798 0.939 0.500
20 Pt 0.939 0.202 0.500

# 3
## SmZnGaPt (PBE-GGA)

Data for a geometry-optimized SmZnGaPt structure.

Output
Space-group type ... F-43m (216)
Total energy ... -17.53 eV/f.u.

Cell lengths 4.761, 4.761, 4.761 Å; angles 60.00, 60.00, 60.00 degrees
Fractional coordinates of all 4 atoms:
1 Sm 0.000 0.000 0.000
2 Zn 0.750 0.750 0.750
3 Ga 0.500 0.500 0.500
4 Pt 0.250 0.250 0.250

# 4
## Sm2ZnGa3Pt4 (PBE-GGA)

Data for a geometry-optimized Sm2ZnGa3Pt4 structure.

Output
Space-group type ... P-4m2 (115)
Total energy ... -53.20 eV/f.u.

Cell lengths 4.139, 4.139, 11.087 Å; angles 90.00, 90.00, 90.00 degrees
Fractional coordinates of all 10 atoms:
1 Sm 0.000 0.500 0.248
2 Sm 0.500 0.000 0.752
3 Zn 0.500 0.500 0.000
4 Ga 0.000 0.000 0.000
5 Ga 0.000 0.500 0.634
6 Ga 0.500 0.000 0.366
7 Pt 0.000 0.000 0.500
8 Pt 0.000 0.500 0.858
9 Pt 0.500 0.000 0.142
10 Pt 0.500 0.500 0.500

# 5
## SmZnGa3Pt (PBE-GGA)

Data for a geometry-optimized SmZnGa3Pt structure.

Output
Space-group type ... Cmcm (63)
Total energy ... -23.11 eV/f.u.

Cell lengths 6.955, 6.955, 5.933 Å; angles 90.00, 90.00, 123.20 degrees
Fractional coordinates of all 12 atoms:
1 Sm 0.207 0.793 0.750
2 Sm 0.793 0.207 0.250
3 Zn 0.438 0.562 0.750
4 Zn 0.562 0.438 0.250
5 Ga 0.201 0.201 0.000
6 Ga 0.201 0.201 0.500
7 Ga 0.348 0.652 0.250
8 Ga 0.652 0.348 0.750
9 Ga 0.799 0.799 0.000
10 Ga 0.799 0.799 0.500
11 Pt 0.143 0.857 0.250
12 Pt 0.857 0.143 0.750

# 6
## Sm2ZnGaPt6 (PBE-GGA)

Data for a geometry-optimized Sm2ZnGaPt6 structure.

Output
Space-group type ... C2/m (12)
Total energy ... -57.61 eV/f.u.

Cell lengths 5.630, 5.630, 8.495 Å; angles 109.37, 109.37, 60.07 degrees
Fractional coordinates of all 10 atoms:
1 Sm 0.203 0.203 0.109
2 Sm 0.797 0.797 0.891
3 Zn 0.000 0.000 0.500
4 Ga 0.500 0.500 0.000
5 Pt 0.244 0.749 0.241
6 Pt 0.251 0.251 0.759
7 Pt 0.251 0.756 0.759
8 Pt 0.749 0.244 0.241
9 Pt 0.749 0.749 0.241
10 Pt 0.756 0.251 0.759

# 7
## SmZnGaPt3 (PBE-GGA)

Data for a geometry-optimized SmZnGaPt3 structure.

Output
Space-group type ... Cmcm (63)
Total energy ... -31.01 eV/f.u.

Cell lengths 6.911, 6.911, 5.682 Å; angles 90.00, 90.00, 121.37 degrees
Fractional coordinates of all 12 atoms:
1 Sm 0.202 0.798 0.750
2 Sm 0.798 0.202 0.250
3 Zn 0.448 0.552 0.750
4 Zn 0.552 0.448 0.250
5 Ga 0.131 0.869 0.250
6 Ga 0.869 0.131 0.750
7 Pt 0.208 0.208 0.000
8 Pt 0.208 0.208 0.500
9 Pt 0.332 0.668 0.250
10 Pt 0.668 0.332 0.750
11 Pt 0.792 0.792 0.000
12 Pt 0.792 0.792 0.500

# 8
## SmZnGa2Pt2 (PBE-GGA)

Data for a geometry-optimized SmZnGa2Pt2 structure.

Output
Space-group type ... P-3m1 (164)
Total energy ... -28.90 eV/f.u.

Cell lengths 4.384, 4.384, 6.641 Å; angles 90.00, 90.00, 120.00 degrees
Fractional coordinates of all 6 atoms:
1 Sm 0.000 0.000 0.000
2 Zn 0.000 0.000 0.500
3 Ga 0.333 0.667 0.704
4 Ga 0.667 0.333 0.296
5 Pt 0.333 0.667 0.295
6 Pt 0.667 0.333 0.705

# 9
## SmZnGa2Pt5 (PBE-GGA)

Data for a geometry-optimized SmZnGa2Pt5 structure.

Output
Space-group type ... P4/mmm (123)
Total energy ... -47.36 eV/f.u.

Cell lengths 4.110, 4.110, 9.595 Å; angles 90.00, 90.00, 90.00 degrees
Fractional coordinates of all 9 atoms:
1 Sm 0.000 0.000 0.000
2 Zn 0.000 0.000 0.500
3 Ga 0.500 0.500 0.375
4 Ga 0.500 0.500 0.625
5 Pt 0.000 0.500 0.227
6 Pt 0.000 0.500 0.773
7 Pt 0.500 0.000 0.227
8 Pt 0.500 0.000 0.773
9 Pt 0.500 0.500 0.000

# 10
## Sm2Zn3Ga4Pt (PBE-GGA)

Data for a geometry-optimized Sm2Zn3Ga4Pt structure.

Output
Space-group type ... P-4m2 (115)
Total energy ... -37.16 eV/f.u.

Cell lengths 4.218, 4.218, 10.633 Å; angles 90.00, 90.00, 90.00 degrees
Fractional coordinates of all 10 atoms:
1 Sm 0.000 0.500 0.249
2 Sm 0.500 0.000 0.751
3 Zn 0.000 0.000 0.000
4 Zn 0.000 0.500 0.636
5 Zn 0.500 0.000 0.364
6 Ga 0.000 0.000 0.500
7 Ga 0.000 0.500 0.866
8 Ga 0.500 0.000 0.134
9 Ga 0.500 0.500 0.500
10 Pt 0.500 0.500 0.000

# 11
## SmZrGa2Pt2 (PBE-GGA)

Data for a geometry-optimized SmZrGa2Pt2 structure.

Output
Space-group type ... P-3m1 (164)
Total energy ... -37.37 eV/f.u.

Cell lengths 4.427, 4.427, 6.958 Å; angles 90.00, 90.00, 120.00 degrees
Fractional coordinates of all 6 atoms:
1 Sm 0.000 0.000 0.000
2 Zr 0.000 0.000 0.500
3 Ga 0.333 0.667 0.712
4 Ga 0.667 0.333 0.288
5 Pt 0.333 0.667 0.289
6 Pt 0.667 0.333 0.711

# 12
## Sm2ZrGa4Pt3 (PBE-GGA)

Data for a geometry-optimized Sm2ZrGa4Pt3 structure.

Output
Space-group type ... P-4m2 (115)
Total energy ... -56.99 eV/f.u.

Cell lengths 4.177, 4.177, 11.462 Å; angles 90.00, 90.00, 90.00 degrees
Fractional coordinates of all 10 atoms:
1 Sm 0.000 0.500 0.241
2 Sm 0.500 0.000 0.759
3 Zr 0.000 0.000 0.500
4 Ga 0.000 0.000 0.000
5 Ga 0.000 0.500 0.655
6 Ga 0.500 0.000 0.345
7 Ga 0.500 0.500 0.000
8 Pt 0.000 0.500 0.871
9 Pt 0.500 0.000 0.129
10 Pt 0.500 0.500 0.500

# 13
## Sm2ZrGa3Pt4 (PBE-GGA)

Data for a geometry-optimized Sm2ZrGa3Pt4 structure.

Output
Space-group type ... P-4m2 (115)
Total energy ... -60.94 eV/f.u.

Cell lengths 4.159, 4.159, 11.446 Å; angles 90.00, 90.00, 90.00 degrees
Fractional coordinates of all 10 atoms:
1 Sm 0.000 0.500 0.235
2 Sm 0.500 0.000 0.765
3 Zr 0.000 0.000 0.500
4 Ga 0.000 0.500 0.870
5 Ga 0.500 0.000 0.130
6 Ga 0.500 0.500 0.500
7 Pt 0.000 0.000 0.000
8 Pt 0.000 0.500 0.652
9 Pt 0.500 0.000 0.348
10 Pt 0.500 0.500 0.000

# 14
## GaSnPt3 (PBE-GGA)

Data for a geometry-optimized GaSnPt3 structure.

Output
Space-group type ... Pm-3m (221)
Distance to the lowest polymorph of the same formula ... 3.32 eV/f.u.

Cell lengths 4.698, 4.698, 4.698 Å; angles 90.00, 90.00, 90.00 degrees
Fractional coordinates of all 5 atoms:
1 Ga 0.000 0.000 0.000
2 Sn 0.500 0.500 0.500
3 Pt 0.000 0.000 0.500
4 Pt 0.000 0.500 0.000
5 Pt 0.500 0.000 0.000

# 15
## Ga2SnPt9 (PBE-GGA)

Data for a geometry-optimized Ga2SnPt9 structure.

Output
Space-group type ... P4/mmm (123)
Total energy ... -69.65 eV/f.u.

Cell lengths 3.987, 3.987, 11.932 Å; angles 90.00, 90.00, 90.00 degrees
Fractional coordinates of all 12 atoms:
1 Ga 0.000 0.000 0.162
2 Ga 0.000 0.000 0.838
3 Sn 0.000 0.000 0.500
4 Pt 0.000 0.500 0.000
5 Pt 0.000 0.500 0.325
6 Pt 0.000 0.500 0.675
7 Pt 0.500 0.000 0.000
8 Pt 0.500 0.000 0.325
9 Pt 0.500 0.000 0.675
10 Pt 0.500 0.500 0.163
11 Pt 0.500 0.500 0.500
12 Pt 0.500 0.500 0.837

# 16
## Ga2SnPt7 (PBE-GGA)

Data for a geometry-optimized Ga2SnPt7 structure.

Output
Space-group type ... I4/mmm (139)
Total energy ... -56.71 eV/f.u.

Cell lengths 10.441, 10.441, 10.441 Å; angles 157.38, 157.38, 32.21 degrees
Fractional coordinates of all 10 atoms:
1 Ga 0.175 0.175 0.000
2 Ga 0.825 0.825 0.000
3 Sn 0.500 0.500 0.000
4 Pt 0.000 0.000 0.000
5 Pt 0.099 0.599 0.500
6 Pt 0.250 0.750 0.500
7 Pt 0.401 0.901 0.500
8 Pt 0.599 0.099 0.500
9 Pt 0.750 0.250 0.500
10 Pt 0.901 0.401 0.500

# 17
## GaSnPt4 (PBE-GGA)

Data for a geometry-optimized GaSnPt4 structure.

Output
Space-group type ... P2/m (10)
Total energy ... -33.77 eV/f.u.

Cell lengths 4.008, 4.012, 6.882 Å; angles 90.00, 90.31, 90.00 degrees
Fractional coordinates of all 6 atoms:
1 Ga 0.000 0.000 0.000
2 Sn 0.500 0.500 0.500
3 Pt 0.001 0.500 0.769
4 Pt 0.500 0.000 0.232
5 Pt 0.500 0.000 0.768
6 Pt 0.999 0.500 0.231

# 18
## GaSn3Pt (PBE-GGA)

Data for a geometry-optimized GaSn3Pt structure.

Output
Space-group type ... Pm-3m (221)
Distance to the lowest polymorph of the same formula ... 2.62 eV/f.u.

Cell lengths 5.165, 5.165, 5.165 Å; angles 90.00, 90.00, 90.00 degrees
Fractional coordinates of all 5 atoms:
1 Ga 0.000 0.000 0.000
2 Sn 0.000 0.000 0.500
3 Sn 0.000 0.500 0.000
4 Sn 0.500 0.000 0.000
5 Pt 0.500 0.500 0.500

# 19
## GaSnPt3 (PBE-GGA)

Data for a geometry-optimized GaSnPt3 structure.

Output
Space-group type ... C2/c (15)
Distance to the lowest polymorph of the same formula ... 0.00 eV/f.u.

Cell lengths 7.470, 7.470, 6.751 Å; angles 92.32, 92.32, 84.43 degrees
Fractional coordinates of all 20 atoms:
1 Ga 0.118 0.882 0.750
2 Ga 0.318 0.682 0.250
3 Ga 0.682 0.318 0.750
4 Ga 0.882 0.118 0.250
5 Sn 0.238 0.434 0.751
6 Sn 0.434 0.238 0.251
7 Sn 0.566 0.762 0.749
8 Sn 0.762 0.566 0.249
9 Pt 0.008 0.186 0.602
10 Pt 0.052 0.670 0.001
11 Pt 0.143 0.443 0.362
12 Pt 0.186 0.008 0.102
13 Pt 0.330 0.948 0.499
14 Pt 0.443 0.143 0.862
15 Pt 0.557 0.857 0.138
16 Pt 0.670 0.052 0.501
17 Pt 0.814 0.992 0.898
18 Pt 0.857 0.557 0.638
19 Pt 0.948 0.330 0.999
20 Pt 0.992 0.814 0.398

# 20
## Ga2SnPt2 (PBE-GGA)

Data for a geometry-optimized Ga2SnPt2 structure.

Output
Space-group type ... I4/mmm (139)
Distance to the lowest polymorph of the same formula ... 0.76 eV/f.u.

Cell lengths 6.104, 6.104, 6.104 Å; angles 139.41, 139.41, 58.75 degrees
Fractional coordinates of all 5 atoms:
1 Ga 0.118 0.118 0.000
2 Ga 0.882 0.882 0.000
3 Sn 0.500 0.500 0.000
4 Pt 0.250 0.750 0.500
5 Pt 0.750 0.250 0.500